(1)
BaZr2Os: optimized geometry, PBE-GGA.

The value obtained for the formation energy is 0.122 eV/atom. The energy relative to the lowest polymorph listed for this composition is 22 meV/atom.

The structure belongs to space group P2/m (No. 10); the cell edges are 3.289, 3.418 and 9.253 Å and the angles 90.00°, 90.07° and 90.00°. Symmetry generates all atoms from Ba at (0.000, 0.000, 0.000), Zr at (0.499, 0.500, 0.334) and Os at (0.000, 0.000, 0.500).



(2)
BaZr2Os: optimized geometry, PBE-GGA.

The value obtained for the formation energy is 0.745 eV/atom. The energy relative to the lowest polymorph listed for this composition is 645 meV/atom.

The structure belongs to space group Pmmm (No. 47); the cell edges are 3.454, 4.931 and 5.385 Å and the angles 90.00°, 90.00° and 90.00°. Symmetry generates all atoms from Ba at (0.000, 0.000, 0.000), Zr at (0.000, 0.500, 0.500), Zr at (0.500, 0.500, 0.000) and Os at (0.500, 0.000, 0.500).